(1)
The following is a GGA-PBE calculation of an optimized crystal structure of Pm2RhI, from Alexandria.

Cell lengths 3.5727, 3.5727, 8.4270 Å; angles 90.00, 90.00, 90.00 degrees
Closest atoms and distances in Å follow each position.
Sites, in units of the cell vectors:
Rh: 0.5000 0.5000 0.0000  8 Pm 3.06
I: 0.5000 0.5000 0.5000  8 Pm 3.55, 4 I 3.57
Pm: 0.0000 0.0000 0.2039  4 Rh 3.06
Pm: 0.0000 0.0000 0.7961  4 Rh 3.06

## Properties
Formation energy without anion corrections ... -0.71 eV per atom
Space-group type ... P4/mmm, No. 123
Spin magnetization ... 0.00 μB/f.u.



(2)
The following is a GGA-PBE calculation of an optimized crystal structure of Pm3RhI3, from Alexandria.

Cell lengths 4.2005, 9.3450, 12.5081 Å; angles 92.35, 90.00, 90.00 degrees
Closest atoms and distances in Å follow each position.
Sites, in units of the cell vectors:
Pm: 0.2500 0.9006 0.6121  3 Rh 2.85-2.87
I: 0.7500 0.6049 0.6330  5 Pm 3.29-3.49
Pm: 0.7500 0.6932 0.3810  2 Rh 2.81
Rh: 0.7500 0.1068 0.6176  6 Pm 2.75-2.87
Rh: 0.2500 0.8932 0.3824  6 Pm 2.75-2.87
I: 0.7500 0.1397 0.1136  4 Pm 3.25-3.47
Pm: 0.2500 0.8856 0.1626  1 Rh 2.75
Pm: 0.7500 0.1144 0.8374  1 Rh 2.75
Pm: 0.2500 0.3068 0.6190  2 Rh 2.81
I: 0.2500 0.3728 0.8742  3 Pm 3.22-3.23
I: 0.2500 0.8603 0.8864  4 Pm 3.25-3.47
I: 0.7500 0.6272 0.1258  3 Pm 3.22-3.23
I: 0.2500 0.3951 0.3670  5 Pm 3.29-3.49
Pm: 0.7500 0.0994 0.3879  3 Rh 2.85-2.87

## Properties
Formation energy without anion corrections ... -1.11 eV per atom
Space-group type ... P2_1/m, No. 11
Spin magnetization ... 0.00 μB/f.u.



(3)
The following is a GGA-PBE calculation of an optimized crystal structure of Pm4Rh2I, from Alexandria.

Cell lengths 8.8077, 8.8083, 8.7753 Å; angles 120.08, 119.97, 90.03 degrees
Closest atoms and distances in Å follow each position.
Sites, in units of the cell vectors:
Rh: 0.6250 0.3750 0.2500  6 Pm 2.86-2.87
I: 0.0012 0.9997 0.9999  4 Pm 3.15-3.16
Rh: 0.6250 0.3750 0.7500  6 Pm 2.86-2.87
Pm: 0.4398 0.1461 0.2923  3 Rh 2.86-2.87, 1 I 3.15
Pm: 0.8541 0.1476 0.7082  3 Rh 2.87, 1 I 3.16
Rh: 0.6250 0.8750 0.2500  6 Pm 2.87
Rh: 0.1250 0.3750 0.7500  6 Pm 2.87
Pm: 0.8541 0.5606 0.7080  3 Rh 2.86-2.87, 1 I 3.15
Pm: 0.3958 0.1894 0.7920  3 Rh 2.86-2.87, 1 I 3.15
I: 0.2488 0.7503 0.5001  4 Pm 3.15-3.16
Pm: 0.8102 0.6039 0.2076  3 Rh 2.86-2.87, 1 I 3.15
Pm: 0.3959 0.6025 0.7919  3 Rh 2.87, 1 I 3.16
Pm: 0.8524 0.1458 0.2914  3 Rh 2.87, 1 I 3.16
Pm: 0.3976 0.6042 0.2086  3 Rh 2.87, 1 I 3.16

## Properties
Formation energy without anion corrections ... -0.63 eV per atom
Space-group type ... P-1, No. 2
Spin magnetization ... 0.00 μB/f.u.



(4)
The following is a GGA-PBE calculation of an optimized crystal structure of Pm7RhI12, from Alexandria.

Cell lengths 9.9689, 9.9689, 9.9689 Å; angles 107.04, 107.04, 107.04 degrees
Closest atoms and distances in Å follow each position.
Sites, in units of the cell vectors:
Pm: 0.9010 0.9747 0.6980  1 Rh 2.79
I: 0.9279 0.3215 0.7740  3 Pm 3.18-3.43
Pm: 0.0253 0.3020 0.0990  1 Rh 2.79
I: 0.4669 0.1592 0.3867  3 Pm 3.13-3.28
I: 0.6785 0.2260 0.0721  3 Pm 3.18-3.43
Pm: 0.0990 0.0253 0.3020  1 Rh 2.79
Pm: 0.6980 0.9010 0.9747  1 Rh 2.79
Pm: 0.5000 0.5000 0.5000  6 I 3.13
I: 0.8408 0.6133 0.5331  3 Pm 3.13-3.28
I: 0.7740 0.9279 0.3215  3 Pm 3.18-3.43
I: 0.3215 0.7740 0.9279  3 Pm 3.18-3.43
I: 0.0721 0.6785 0.2260  3 Pm 3.18-3.43
I: 0.2260 0.0721 0.6785  3 Pm 3.18-3.43
I: 0.3867 0.4669 0.1592  3 Pm 3.13-3.28
Pm: 0.9747 0.6980 0.9010  1 Rh 2.79
I: 0.1592 0.3867 0.4669  3 Pm 3.13-3.28
I: 0.6133 0.5331 0.8408  3 Pm 3.13-3.28
Rh: 0.0000 0.0000 0.0000  6 Pm 2.79
Pm: 0.3020 0.0990 0.0253  1 Rh 2.79
I: 0.5331 0.8408 0.6133  3 Pm 3.13-3.28

## Properties
Formation energy without anion corrections ... -1.27 eV per atom
Space-group type ... R-3, No. 148
Spin magnetization ... 0.23 μB/f.u.



(5)
The following is a GGA-PBE calculation of an optimized crystal structure of Pm2RhI, from Alexandria.

Cell lengths 4.1556, 4.1565, 8.4508 Å; angles 90.00, 104.23, 120.01 degrees
Closest atoms and distances in Å follow each position.
Sites, in units of the cell vectors:
I: 0.0222 0.7523 0.5516  6 Pm 3.50-3.51
Rh: 0.0235 0.2530 0.0515  6 Pm 2.83
Pm: 0.4798 0.9811 0.2360  3 Rh 2.83
Pm: 0.5672 0.5248 0.8671  3 Rh 2.83

## Properties
Formation energy without anion corrections ... -0.95 eV per atom
Space-group type ... R-3m, No. 166
Spin magnetization ... 0.00 μB/f.u.



(6)
The following is a GGA-PBE calculation of an optimized crystal structure of Pm4Rh2I5, from Alexandria.

Cell lengths 3.9832, 9.8045, 11.0412 Å; angles 116.36, 100.39, 90.00 degrees
Closest atoms and distances in Å follow each position.
Sites, in units of the cell vectors:
Rh: 0.7918 0.7918 0.5836  1 Pm 2.42, 2 I 2.59
Pm: 0.6668 0.6668 0.3336  1 Rh 2.42
Rh: 0.2082 0.2082 0.4164  1 Pm 2.42, 2 I 2.59
Pm: 0.0000 0.2975 0.0000  2 I 3.11
Pm: 0.0000 0.7025 0.0000  2 I 3.11
I: 0.5000 0.0000 0.0000  4 Pm 3.53
I: 0.1581 0.4031 0.3163  1 Rh 2.59
I: 0.1581 0.9131 0.3163  1 Rh 2.59
I: 0.8419 0.5969 0.6837  1 Rh 2.59
Pm: 0.3332 0.3332 0.6664  1 Rh 2.42
I: 0.8419 0.0869 0.6837  1 Rh 2.59

## Properties
Formation energy without anion corrections ... -0.48 eV per atom
Space-group type ... Immm, No. 71
Spin magnetization ... 0.01 μB/f.u.



Number 1: total DFT energy (no corrections) -5.315 eV/atom, DOS(E_F) 3.27 states/eV/f.u.. Number 2: total DFT energy (no corrections) -4.861 eV/atom, DOS(E_F) 5.46 states/eV/f.u.. Number 3: total DFT energy (no corrections) -5.669 eV/atom, DOS(E_F) 4.35 states/eV/f.u.. Number 4: total DFT energy (no corrections) -4.229 eV/atom, DOS(E_F) 14.84 states/eV/f.u.. Number 5: total DFT energy (no corrections) -5.548 eV/atom, DOS(E_F) 0.81 states/eV/f.u.. Number 6: total DFT energy (no corrections) -4.251 eV/atom, DOS(E_F) 7.38 states/eV/f.u..